(1)
First-principles (PBE-GGA) data for TiMn4V5 after structural relaxation, as listed in the Alexandria database.

Results
- Formation energy from the elements: -0.211 eV/atom
- Crystal system: tetragonal
- M_tot: 0.000 μB/atom

a = 2.891 Å, b = 2.891 Å, c = 14.929 Å
α = 90.00°, β = 90.00°, γ = 90.00°
Positions (direct):
Ti 0.000 0.000 0.000
Mn 0.000 0.000 0.211
Mn 0.000 0.000 0.404
Mn 0.000 0.000 0.596
Mn 0.000 0.000 0.789
V 0.500 0.500 0.118
V 0.500 0.500 0.308
V 0.500 0.500 0.500
V 0.500 0.500 0.692
V 0.500 0.500 0.882

(2)
First-principles (PBE-GGA) data for TiMnV3 after structural relaxation, as listed in the Alexandria database.

Results
- Formation energy from the elements: 0.631 eV/atom
- Crystal system: cubic
- Energy above the most stable polymorph in this dataset: 488.9 meV per atom
- M_tot: 0.002 μB/atom

a = 4.302 Å, b = 4.302 Å, c = 4.302 Å
α = 90.00°, β = 90.00°, γ = 90.00°
Positions (direct):
Ti 0.000 0.000 0.000
Mn 0.500 0.500 0.500
V 0.000 0.500 0.500
V 0.500 0.000 0.500
V 0.500 0.500 0.000

(3)
First-principles (PBE-GGA) data for Ti2MnV3 after structural relaxation, as listed in the Alexandria database.

Results
- Formation energy from the elements: 0.122 eV/atom
- Crystal system: orthorhombic
- M_tot: 0.000 μB/atom

a = 6.006 Å, b = 6.006 Å, c = 4.873 Å
α = 90.00°, β = 90.00°, γ = 99.75°
Positions (direct):
Ti 0.054 0.616 0.750
Ti 0.384 0.946 0.750
Ti 0.616 0.054 0.250
Ti 0.946 0.384 0.250
Mn 0.315 0.685 0.250
Mn 0.685 0.315 0.750
V 0.070 0.930 0.250
V 0.324 0.324 0.000
V 0.324 0.324 0.500
V 0.676 0.676 0.000
V 0.676 0.676 0.500
V 0.930 0.070 0.750

(4)
First-principles (PBE-GGA) data for TiMn6V5 after structural relaxation, as listed in the Alexandria database.

Results
- Formation energy from the elements: -0.279 eV/atom
- Crystal system: orthorhombic
- M_tot: 0.041 μB/atom

a = 6.462 Å, b = 6.462 Å, c = 5.778 Å
α = 90.00°, β = 90.00°, γ = 143.09°
Positions (direct):
Ti 0.000 0.000 0.000
Mn 0.169 0.831 0.252
Mn 0.169 0.831 0.748
Mn 0.500 0.500 0.254
Mn 0.500 0.500 0.746
Mn 0.831 0.169 0.252
Mn 0.831 0.169 0.748
V 0.000 0.000 0.500
V 0.333 0.667 0.000
V 0.333 0.667 0.500
V 0.667 0.333 0.000
V 0.667 0.333 0.500

(5)
First-principles (PBE-GGA) data for TiMn4V3 after structural relaxation, as listed in the Alexandria database.

Results
- Formation energy from the elements: -0.276 eV/atom
- Crystal system: orthorhombic
- M_tot: 0.077 μB/atom

a = 2.895 Å, b = 4.110 Å, c = 8.205 Å
α = 90.00°, β = 90.00°, γ = 90.00°
Positions (direct):
Ti 0.000 0.000 0.000
Mn 0.500 0.000 0.258
Mn 0.500 0.000 0.742
Mn 0.500 0.500 0.000
Mn 0.500 0.500 0.500
V 0.000 0.000 0.500
V 0.000 0.500 0.252
V 0.000 0.500 0.748

(6)
First-principles (PBE-GGA) data for TiMn2V after structural relaxation, as listed in the Alexandria database.

Results
- Formation energy from the elements: -0.278 eV/atom
- Crystal system: tetragonal
- Energy above the most stable polymorph in this dataset: 0.0 meV per atom
- M_tot: 0.139 μB/atom

a = 2.922 Å, b = 2.922 Å, c = 5.877 Å
α = 90.00°, β = 90.00°, γ = 90.00°
Positions (direct):
Ti 0.000 0.000 0.000
Mn 0.500 0.500 0.260
Mn 0.500 0.500 0.740
V 0.000 0.000 0.500

(7)
First-principles (PBE-GGA) data for Ti2MnV4 after structural relaxation, as listed in the Alexandria database.

Results
- Formation energy from the elements: 0.750 eV/atom
- Crystal system: tetragonal
- M_tot: 0.354 μB/atom

a = 7.119 Å, b = 7.119 Å, c = 7.119 Å
α = 145.50°, β = 145.50°, γ = 49.58°
Positions (direct):
Ti 0.131 0.131 0.000
Ti 0.869 0.869 0.000
Mn 0.500 0.500 0.000
V 0.000 0.500 0.500
V 0.322 0.322 0.000
V 0.500 0.000 0.500
V 0.678 0.678 0.000

(8)
First-principles (PBE-GGA) data for TiMnV3 after structural relaxation, as listed in the Alexandria database.

Results
- Formation energy from the elements: 1.292 eV/atom
- Crystal system: cubic
- Energy above the most stable polymorph in this dataset: 1149.6 meV per atom
- M_tot: 0.519 μB/atom

a = 4.399 Å, b = 4.399 Å, c = 4.399 Å
α = 90.00°, β = 90.00°, γ = 90.00°
Positions (direct):
Ti 0.000 0.000 0.000
Mn 0.500 0.500 0.500
V 0.000 0.000 0.500
V 0.000 0.500 0.000
V 0.500 0.000 0.000

(9)
First-principles (PBE-GGA) data for Ti2MnV2 after structural relaxation, as listed in the Alexandria database.

Results
- Formation energy from the elements: -0.081 eV/atom
- Crystal system: tetragonal
- Energy above the most stable polymorph in this dataset: 0.0 meV per atom
- M_tot: 0.001 μB/atom

a = 7.899 Å, b = 7.899 Å, c = 7.899 Å
α = 157.75°, β = 157.75°, γ = 31.67°
Positions (direct):
Ti 0.094 0.094 0.000
Ti 0.906 0.906 0.000
Mn 0.500 0.500 0.000
V 0.290 0.290 0.000
V 0.710 0.710 0.000

(10)
First-principles (PBE-GGA) data for Ti5Mn4V after structural relaxation, as listed in the Alexandria database.

Results
- Formation energy from the elements: -0.171 eV/atom
- Crystal system: tetragonal
- M_tot: 0.192 μB/atom

a = 2.987 Å, b = 2.987 Å, c = 15.363 Å
α = 90.00°, β = 90.00°, γ = 90.00°
Positions (direct):
Ti 0.000 0.000 0.000
Ti 0.000 0.000 0.195
Ti 0.000 0.000 0.386
Ti 0.000 0.000 0.614
Ti 0.000 0.000 0.805
Mn 0.500 0.500 0.097
Mn 0.500 0.500 0.294
Mn 0.500 0.500 0.706
Mn 0.500 0.500 0.903
V 0.500 0.500 0.500

(11)
First-principles (PBE-GGA) data for TiMn2V4 after structural relaxation, as listed in the Alexandria database.

Results
- Formation energy from the elements: 1.027 eV/atom
- Crystal system: tetragonal
- M_tot: 0.134 μB/atom

a = 6.707 Å, b = 6.707 Å, c = 6.707 Å
α = 142.35°, β = 142.35°, γ = 54.30°
Positions (direct):
Ti 0.000 0.000 0.000
Mn 0.378 0.378 0.000
Mn 0.622 0.622 0.000
V 0.000 0.500 0.500
V 0.202 0.202 0.000
V 0.500 0.000 0.500
V 0.798 0.798 0.000

(12)
First-principles (PBE-GGA) data for TiMnV3 after structural relaxation, as listed in the Alexandria database.

Results
- Formation energy from the elements: 0.142 eV/atom
- Crystal system: orthorhombic
- Energy above the most stable polymorph in this dataset: 0.0 meV per atom
- M_tot: 0.000 μB/atom

a = 6.262 Å, b = 6.262 Å, c = 4.828 Å
α = 90.00°, β = 90.00°, γ = 130.96°
Positions (direct):
Ti 0.078 0.922 0.750
Ti 0.922 0.078 0.250
Mn 0.500 0.500 0.000
Mn 0.500 0.500 0.500
V 0.098 0.399 0.750
V 0.324 0.676 0.250
V 0.399 0.098 0.250
V 0.601 0.902 0.750
V 0.676 0.324 0.750
V 0.902 0.601 0.250

(13)
First-principles (PBE-GGA) data for Ti2MnV6 after structural relaxation, as listed in the Alexandria database.

Results
- Formation energy from the elements: 0.121 eV/atom
- Crystal system: monoclinic
- M_tot: 0.135 μB/atom

a = 7.483 Å, b = 7.483 Å, c = 2.607 Å
α = 93.19°, β = 93.19°, γ = 60.33°
Positions (direct):
Ti 0.165 0.165 0.000
Ti 0.835 0.835 0.000
Mn 0.500 0.500 0.000
V 0.170 0.500 0.653
V 0.183 0.817 0.500
V 0.500 0.170 0.653
V 0.500 0.830 0.347
V 0.817 0.183 0.500
V 0.830 0.500 0.347

(14)
First-principles (PBE-GGA) data for Ti12Mn5V3 after structural relaxation, as listed in the Alexandria database.

Results
- Formation energy from the elements: 0.931 eV/atom
- Crystal system: cubic
- M_tot: 0.222 μB/atom

a = 12.292 Å, b = 12.292 Å, c = 12.292 Å
α = 109.47°, β = 109.47°, γ = 109.47°
Positions (direct):
Ti 0.045 0.215 0.112
Ti 0.045 0.330 0.933
Ti 0.067 0.612 0.397
Ti 0.067 0.955 0.670
Ti 0.103 0.715 0.670
Ti 0.103 0.888 0.433
Ti 0.112 0.045 0.215
Ti 0.112 0.567 0.897
Ti 0.170 0.215 0.603
Ti 0.170 0.455 0.567
Ti 0.215 0.112 0.045
Ti 0.215 0.603 0.170
Ti 0.285 0.330 0.897
Ti 0.285 0.455 0.388
Ti 0.330 0.897 0.285
Ti 0.330 0.933 0.045
Ti 0.388 0.285 0.455
Ti 0.388 0.603 0.933
Ti 0.397 0.067 0.612
Ti 0.397 0.830 0.785
Ti 0.433 0.103 0.888
Ti 0.433 0.830 0.545
Ti 0.455 0.388 0.285
Ti 0.455 0.567 0.170
Ti 0.545 0.433 0.830
Ti 0.545 0.612 0.715
Ti 0.567 0.170 0.455
Ti 0.567 0.897 0.112
Ti 0.603 0.170 0.215
Ti 0.603 0.933 0.388
Ti 0.612 0.397 0.067
Ti 0.612 0.715 0.545
Ti 0.670 0.067 0.955
Ti 0.670 0.103 0.715
Ti 0.715 0.545 0.612
Ti 0.715 0.670 0.103
Ti 0.785 0.397 0.830
Ti 0.785 0.888 0.955
Ti 0.830 0.545 0.433
Ti 0.830 0.785 0.397
Ti 0.888 0.433 0.103
Ti 0.888 0.955 0.785
Ti 0.897 0.112 0.567
Ti 0.897 0.285 0.330
Ti 0.933 0.045 0.330
Ti 0.933 0.388 0.603
Ti 0.955 0.670 0.067
Ti 0.955 0.785 0.888
Mn 0.000 0.000 0.000
Mn 0.000 0.000 0.500
Mn 0.000 0.500 0.000
Mn 0.000 0.500 0.500
Mn 0.125 0.750 0.875
Mn 0.125 0.875 0.250
Mn 0.250 0.125 0.875
Mn 0.250 0.625 0.375
Mn 0.375 0.250 0.625
Mn 0.375 0.625 0.750
Mn 0.500 0.000 0.000
Mn 0.500 0.000 0.500
Mn 0.500 0.500 0.000
Mn 0.500 0.500 0.500
Mn 0.625 0.375 0.250
Mn 0.625 0.750 0.375
Mn 0.750 0.375 0.625
Mn 0.750 0.875 0.125
Mn 0.875 0.125 0.750
Mn 0.875 0.250 0.125
V 0.125 0.250 0.375
V 0.125 0.375 0.750
V 0.250 0.375 0.125
V 0.250 0.875 0.625
V 0.375 0.125 0.250
V 0.375 0.750 0.125
V 0.625 0.250 0.875
V 0.625 0.875 0.750
V 0.750 0.125 0.375
V 0.750 0.625 0.875
V 0.875 0.625 0.250
V 0.875 0.750 0.625

(15)
First-principles (PBE-GGA) data for TiMn2V after structural relaxation, as listed in the Alexandria database.

Results
- Formation energy from the elements: 0.338 eV/atom
- Crystal system: tetragonal
- Energy above the most stable polymorph in this dataset: 616.0 meV per atom
- M_tot: 0.467 μB/atom

a = 5.291 Å, b = 5.291 Å, c = 5.291 Å
α = 104.29°, β = 104.29°, γ = 120.42°
Positions (direct):
Ti 0.000 0.000 0.000
Ti 0.750 0.250 0.500
Mn 0.142 0.625 0.017
Mn 0.375 0.392 0.517
Mn 0.608 0.125 0.983
Mn 0.875 0.858 0.483
V 0.250 0.750 0.500
V 0.500 0.500 0.000

(16)
First-principles (PBE-GGA) data for Ti6Mn2V after structural relaxation, as listed in the Alexandria database.

Results
- Formation energy from the elements: -0.093 eV/atom
- Crystal system: monoclinic
- M_tot: 0.000 μB/atom

a = 5.181 Å, b = 5.181 Å, c = 9.424 Å
α = 106.60°, β = 106.60°, γ = 33.90°
Positions (direct):
Ti 0.020 0.020 0.325
Ti 0.319 0.319 0.119
Ti 0.319 0.319 0.421
Ti 0.681 0.681 0.579
Ti 0.681 0.681 0.881
Ti 0.980 0.980 0.675
Mn 0.346 0.346 0.796
Mn 0.654 0.654 0.204
V 0.000 0.000 0.000

(17)
First-principles (PBE-GGA) data for Ti4MnV after structural relaxation, as listed in the Alexandria database.

Results
- Formation energy from the elements: -0.035 eV/atom
- Crystal system: monoclinic
- M_tot: 0.001 μB/atom

a = 5.119 Å, b = 5.119 Å, c = 5.527 Å
α = 121.94°, β = 121.94°, γ = 50.45°
Positions (direct):
Ti 0.153 0.153 0.307
Ti 0.192 0.192 0.830
Ti 0.808 0.808 0.170
Ti 0.847 0.847 0.693
Mn 0.500 0.500 0.000
V 0.500 0.500 0.500

(18)
First-principles (PBE-GGA) data for Ti4Mn5V after structural relaxation, as listed in the Alexandria database.

Results
- Formation energy from the elements: -0.251 eV/atom
- Crystal system: tetragonal
- M_tot: 0.291 μB/atom

a = 2.962 Å, b = 2.962 Å, c = 14.890 Å
α = 90.00°, β = 90.00°, γ = 90.00°
Positions (direct):
Ti 0.000 0.000 0.101
Ti 0.000 0.000 0.303
Ti 0.000 0.000 0.697
Ti 0.000 0.000 0.899
Mn 0.500 0.500 0.000
Mn 0.500 0.500 0.203
Mn 0.500 0.500 0.406
Mn 0.500 0.500 0.594
Mn 0.500 0.500 0.797
V 0.000 0.000 0.500

(19)
First-principles (PBE-GGA) data for Ti2MnV2 after structural relaxation, as listed in the Alexandria database.

Results
- Formation energy from the elements: 0.122 eV/atom
- Crystal system: tetragonal
- Energy above the most stable polymorph in this dataset: 202.7 meV per atom
- M_tot: 0.000 μB/atom

a = 5.884 Å, b = 5.884 Å, c = 4.334 Å
α = 90.00°, β = 90.00°, γ = 90.00°
Positions (direct):
Ti 0.163 0.337 0.000
Ti 0.337 0.837 0.000
Ti 0.663 0.163 0.000
Ti 0.837 0.663 0.000
Mn 0.000 0.000 0.500
Mn 0.500 0.500 0.500
V 0.152 0.652 0.500
V 0.348 0.152 0.500
V 0.652 0.848 0.500
V 0.848 0.348 0.500

(20)
First-principles (PBE-GGA) data for Ti2Mn2V after structural relaxation, as listed in the Alexandria database.

Results
- Formation energy from the elements: 0.007 eV/atom
- Crystal system: tetragonal
- M_tot: 0.000 μB/atom

a = 5.872 Å, b = 5.872 Å, c = 4.129 Å
α = 90.00°, β = 90.00°, γ = 90.00°
Positions (direct):
Ti 0.179 0.321 0.000
Ti 0.321 0.821 0.000
Ti 0.679 0.179 0.000
Ti 0.821 0.679 0.000
Mn 0.130 0.630 0.500
Mn 0.370 0.130 0.500
Mn 0.630 0.870 0.500
Mn 0.870 0.370 0.500
V 0.000 0.000 0.500
V 0.500 0.500 0.500